1.
# MgAgW2 (GGA-PBE, optimized geometry)
data_MgAgW2
_chemical_formula_sum 'Mg4 Ag4 W8'
_cell_length_a 6.457
_cell_length_b 6.457
_cell_length_c 6.457
_cell_angle_alpha 90.00
_cell_angle_beta 90.00
_cell_angle_gamma 90.00
_symmetry_space_group_name_H-M 'F -4 3 m'
_symmetry_Int_Tables_number 216
_symmetry_space_group_name_Hall 'F -4 2 3'
loop_
_atom_site_label
_atom_site_type_symbol
_atom_site_fract_x
_atom_site_fract_y
_atom_site_fract_z
_atom_site_occupancy
Mg1 Mg 0.000 0.000 0.000 1
Ag1 Ag 0.250 0.250 0.750 1
W1 W 0.000 0.000 0.500 1
W2 W 0.250 0.250 0.250 1
# DOS(E_F)	3.9	states/eV/f.u.
# volume	67.3	Å³/f.u.
# calculated formation energy	0.600	eV per atom
# E_tot	-111.80	eV/cell
# ρ	12.3	Mg/m³



2.
# MgAgW3 (GGA-PBE, optimized geometry)
data_MgAgW3
_chemical_formula_sum 'Mg1 Ag1 W3'
_cell_length_a 4.571
_cell_length_b 4.571
_cell_length_c 4.571
_cell_angle_alpha 90.00
_cell_angle_beta 90.00
_cell_angle_gamma 90.00
_symmetry_space_group_name_H-M 'P m -3 m'
_symmetry_Int_Tables_number 221
_symmetry_space_group_name_Hall '-P 4 2 3'
loop_
_atom_site_label
_atom_site_type_symbol
_atom_site_fract_x
_atom_site_fract_y
_atom_site_fract_z
_atom_site_occupancy
Mg1 Mg 0.000 0.000 0.000 1
Ag1 Ag 0.500 0.500 0.500 1
W1 W 0.000 0.000 0.500 1
# DOS(E_F)	5.6	states/eV/f.u.
# volume	95.5	Å³/f.u.
# calculated formation energy	2.551	eV per atom
# polymorph energy (0 for the lowest one)	0.0	meV per atom
# E_tot	-30.55	eV/cell
# ρ	11.9	Mg/m³



3.
# Mg2AgW (GGA-PBE, optimized geometry)
data_Mg2AgW
_chemical_formula_sum 'Mg4 Ag2 W2'
_cell_length_a 9.719
_cell_length_b 2.808
_cell_length_c 5.347
_cell_angle_alpha 90.00
_cell_angle_beta 101.29
_cell_angle_gamma 90.00
_symmetry_space_group_name_H-M 'C 1 2/m 1'
_symmetry_Int_Tables_number 12
loop_
_symmetry_equiv_pos_as_xyz
'x,y,z'
'-x,-y,-z'
'-x,y,-z'
'x,-y,z'
'x+1/2,y+1/2,z'
'-x+1/2,-y+1/2,-z'
'-x+1/2,y+1/2,-z'
'x+1/2,-y+1/2,z'
loop_
_atom_site_label
_atom_site_type_symbol
_atom_site_fract_x
_atom_site_fract_y
_atom_site_fract_z
_atom_site_occupancy
Mg1 Mg 0.245 0.000 0.260 1
Ag1 Ag 0.000 0.500 0.000 1
W1 W 0.000 0.000 0.500 1
# DOS(E_F)	3.3	states/eV/f.u.
# volume	71.6	Å³/f.u.
# calculated formation energy	0.448	eV per atom
# polymorph energy (0 for the lowest one)	276.0	meV per atom
# E_tot	-34.40	eV/cell
# ρ	7.9	Mg/m³



4.
# Mg2AgW (GGA-PBE, optimized geometry)
data_Mg2AgW
_chemical_formula_sum 'Mg4 Ag2 W2'
_cell_length_a 4.191
_cell_length_b 4.191
_cell_length_c 8.186
_cell_angle_alpha 90.00
_cell_angle_beta 90.00
_cell_angle_gamma 90.00
_symmetry_space_group_name_H-M 'I 4/m m m'
_symmetry_Int_Tables_number 139
_symmetry_space_group_name_Hall '-I 4 2'
loop_
_atom_site_label
_atom_site_type_symbol
_atom_site_fract_x
_atom_site_fract_y
_atom_site_fract_z
_atom_site_occupancy
Mg1 Mg 0.000 0.500 0.250 1
Ag1 Ag 0.000 0.000 0.000 1
W1 W 0.000 0.000 0.500 1
# DOS(E_F)	3.9	states/eV/f.u.
# volume	71.9	Å³/f.u.
# calculated formation energy	0.635	eV per atom
# polymorph energy (0 for the lowest one)	463.0	meV per atom
# E_tot	-32.90	eV/cell
# ρ	7.9	Mg/m³



5.
# MgAgW2 (GGA-PBE, optimized geometry)
data_MgAgW2
_chemical_formula_sum 'Mg2 Ag2 W4'
_cell_length_a 9.351
_cell_length_b 2.699
_cell_length_c 5.404
_cell_angle_alpha 90.00
_cell_angle_beta 94.17
_cell_angle_gamma 90.00
_symmetry_space_group_name_H-M 'C 1 m 1'
_symmetry_Int_Tables_number 8
loop_
_symmetry_equiv_pos_as_xyz
'x,y,z'
'x,-y,z'
'x+1/2,y+1/2,z'
'x+1/2,-y+1/2,z'
loop_
_atom_site_label
_atom_site_type_symbol
_atom_site_fract_x
_atom_site_fract_y
_atom_site_fract_z
_atom_site_occupancy
Mg1 Mg 0.000 0.000 0.000 1
Ag1 Ag 0.249 0.500 0.216 1
W1 W 0.247 0.000 0.717 1
W2 W 0.492 0.000 0.513 1
# DOS(E_F)	3.3	states/eV/f.u.
# volume	68.0	Å³/f.u.
# calculated formation energy	0.499	eV per atom
# E_tot	-56.72	eV/cell
# ρ	12.2	Mg/m³



6.
# Mg2AgW (GGA-PBE, optimized geometry)
data_Mg2AgW
_chemical_formula_sum 'Mg8 Ag4 W4'
_cell_length_a 6.646
_cell_length_b 6.646
_cell_length_c 6.646
_cell_angle_alpha 90.00
_cell_angle_beta 90.00
_cell_angle_gamma 90.00
_symmetry_space_group_name_H-M 'F -4 3 m'
_symmetry_Int_Tables_number 216
_symmetry_space_group_name_Hall 'F -4 2 3'
loop_
_atom_site_label
_atom_site_type_symbol
_atom_site_fract_x
_atom_site_fract_y
_atom_site_fract_z
_atom_site_occupancy
Mg1 Mg 0.000 0.000 0.000 1
Mg2 Mg 0.250 0.250 0.250 1
Ag1 Ag 0.000 0.000 0.500 1
W1 W 0.250 0.250 0.750 1
# DOS(E_F)	0.9	states/eV/f.u.
# volume	73.4	Å³/f.u.
# calculated formation energy	0.646	eV per atom
# polymorph energy (0 for the lowest one)	473.3	meV per atom
# E_tot	-65.64	eV/cell
# ρ	7.7	Mg/m³



7.
# Mg2AgW (GGA-PBE, optimized geometry)
data_Mg2AgW
_chemical_formula_sum 'Mg2 Ag1 W1'
_cell_length_a 2.752
_cell_length_b 4.941
_cell_length_c 5.298
_cell_angle_alpha 90.00
_cell_angle_beta 90.00
_cell_angle_gamma 90.00
_symmetry_space_group_name_H-M 'P m m 2'
_symmetry_Int_Tables_number 25
loop_
_symmetry_equiv_pos_as_xyz
'x,y,z'
'-x,-y,z'
'-x,y,z'
'x,-y,z'
loop_
_atom_site_label
_atom_site_type_symbol
_atom_site_fract_x
_atom_site_fract_y
_atom_site_fract_z
_atom_site_occupancy
Mg1 Mg 0.000 0.000 0.000 1
Mg2 Mg 0.000 0.500 0.335 1
Ag1 Ag 0.500 0.000 0.526 1
W1 W 0.500 0.500 0.835 1
# DOS(E_F)	2.8	states/eV/f.u.
# volume	72.0	Å³/f.u.
# calculated formation energy	0.406	eV per atom
# polymorph energy (0 for the lowest one)	233.4	meV per atom
# E_tot	-17.37	eV/cell
# ρ	7.8	Mg/m³



8.
# MgAgW2 (GGA-PBE, optimized geometry)
data_MgAgW2
_chemical_formula_sum 'Mg2 Ag2 W4'
_cell_length_a 3.269
_cell_length_b 4.795
_cell_length_c 8.872
_cell_angle_alpha 90.00
_cell_angle_beta 90.00
_cell_angle_gamma 90.00
_symmetry_space_group_name_H-M 'I m m 2'
_symmetry_Int_Tables_number 44
loop_
_symmetry_equiv_pos_as_xyz
'x,y,z'
'-x,-y,z'
'-x,y,z'
'x,-y,z'
'x+1/2,y+1/2,z+1/2'
'-x+1/2,-y+1/2,z+1/2'
'-x+1/2,y+1/2,z+1/2'
'x+1/2,-y+1/2,z+1/2'
loop_
_atom_site_label
_atom_site_type_symbol
_atom_site_fract_x
_atom_site_fract_y
_atom_site_fract_z
_atom_site_occupancy
Mg1 Mg 0.000 0.000 0.000 1
Ag1 Ag 0.000 0.500 0.254 1
W1 W 0.000 0.000 0.486 1
W2 W 0.000 0.500 0.772 1
# DOS(E_F)	2.3	states/eV/f.u.
# volume	69.5	Å³/f.u.
# calculated formation energy	0.575	eV per atom
# E_tot	-56.10	eV/cell
# ρ	11.9	Mg/m³



9.
# MgAgW2 (GGA-PBE, optimized geometry)
data_MgAgW2
_chemical_formula_sum 'Mg2 Ag2 W4'
_cell_length_a 10.286
_cell_length_b 2.959
_cell_length_c 4.579
_cell_angle_alpha 90.00
_cell_angle_beta 103.13
_cell_angle_gamma 90.00
_symmetry_space_group_name_H-M 'C 1 2/m 1'
_symmetry_Int_Tables_number 12
loop_
_symmetry_equiv_pos_as_xyz
'x,y,z'
'-x,-y,-z'
'-x,y,-z'
'x,-y,z'
'x+1/2,y+1/2,z'
'-x+1/2,-y+1/2,-z'
'-x+1/2,y+1/2,-z'
'x+1/2,-y+1/2,z'
loop_
_atom_site_label
_atom_site_type_symbol
_atom_site_fract_x
_atom_site_fract_y
_atom_site_fract_z
_atom_site_occupancy
Mg1 Mg 0.000 0.000 0.000 1
Ag1 Ag 0.000 0.500 0.500 1
W1 W 0.243 0.000 0.746 1
# DOS(E_F)	1.8	states/eV/f.u.
# volume	67.9	Å³/f.u.
# calculated formation energy	0.466	eV per atom
# E_tot	-56.98	eV/cell
# ρ	12.2	Mg/m³



10.
# MgAgW4 (GGA-PBE, optimized geometry)
data_MgAgW4
_chemical_formula_sum 'Mg4 Ag4 W16'
_cell_length_a 7.564
_cell_length_b 7.564
_cell_length_c 7.564
_cell_angle_alpha 90.00
_cell_angle_beta 90.00
_cell_angle_gamma 90.00
_symmetry_space_group_name_H-M 'F -4 3 m'
_symmetry_Int_Tables_number 216
_symmetry_space_group_name_Hall 'F -4 2 3'
loop_
_atom_site_label
_atom_site_type_symbol
_atom_site_fract_x
_atom_site_fract_y
_atom_site_fract_z
_atom_site_occupancy
Mg1 Mg 0.000 0.000 0.000 1
Ag1 Ag 0.250 0.250 0.250 1
W1 W 0.125 0.125 0.625 1
# DOS(E_F)	6.9	states/eV/f.u.
# volume	108.2	Å³/f.u.
# calculated formation energy	0.668	eV per atom
# E_tot	-209.00	eV/cell
# ρ	13.3	Mg/m³



11.
# Mg2AgW (GGA-PBE, optimized geometry)
data_Mg2AgW
_chemical_formula_sum 'Mg2 Ag1 W1'
_cell_length_a 4.227
_cell_length_b 4.227
_cell_length_c 3.941
_cell_angle_alpha 90.00
_cell_angle_beta 90.00
_cell_angle_gamma 90.00
_symmetry_space_group_name_H-M 'P 4/m m m'
_symmetry_Int_Tables_number 123
_symmetry_space_group_name_Hall '-P 4 2'
loop_
_atom_site_label
_atom_site_type_symbol
_atom_site_fract_x
_atom_site_fract_y
_atom_site_fract_z
_atom_site_occupancy
Mg1 Mg 0.000 0.500 0.000 1
Ag1 Ag 0.000 0.000 0.500 1
W1 W 0.500 0.500 0.500 1
# DOS(E_F)	3.1	states/eV/f.u.
# volume	70.4	Å³/f.u.
# calculated formation energy	0.501	eV per atom
# polymorph energy (0 for the lowest one)	328.5	meV per atom
# E_tot	-16.99	eV/cell
# ρ	8.0	Mg/m³



12.
# Mg2AgW (GGA-PBE, optimized geometry)
data_Mg2AgW
_chemical_formula_sum 'Mg4 Ag2 W2'
_cell_length_a 2.857
_cell_length_b 5.121
_cell_length_c 9.772
_cell_angle_alpha 90.00
_cell_angle_beta 90.00
_cell_angle_gamma 90.00
_symmetry_space_group_name_H-M 'I m m m'
_symmetry_Int_Tables_number 71
_symmetry_space_group_name_Hall '-I 2 2'
loop_
_atom_site_label
_atom_site_type_symbol
_atom_site_fract_x
_atom_site_fract_y
_atom_site_fract_z
_atom_site_occupancy
Mg1 Mg 0.000 0.000 0.240 1
Ag1 Ag 0.000 0.500 0.500 1
W1 W 0.000 0.500 0.000 1
# DOS(E_F)	2.8	states/eV/f.u.
# volume	71.5	Å³/f.u.
# calculated formation energy	0.480	eV per atom
# polymorph energy (0 for the lowest one)	308.0	meV per atom
# E_tot	-34.14	eV/cell
# ρ	7.9	Mg/m³